## Zn2CdHg (PBE)

Data for a relaxed Zn2CdHg crystal.

Lattice parameters (Å, degrees): 5.930 9.196 3.361 90.00 117.01 90.00
Atoms (fractional coordinates):
Zn 0.250 0.250 0.000
Zn 0.250 0.750 0.000
Zn 0.750 0.250 0.000
Zn 0.750 0.750 0.000
Cd 0.000 0.000 0.500
Cd 0.500 0.500 0.500
Hg 0.000 0.500 0.500
Hg 0.500 0.000 0.500

The value obtained for the total magnetic moment is 0.00 μB/f.u.



## Zn3CdHg (PBE)

Data for a relaxed Zn3CdHg crystal.

Lattice parameters (Å, degrees): 5.140 5.140 5.140 90.00 90.00 90.00
Atoms (fractional coordinates):
Zn 0.000 0.000 0.500
Zn 0.000 0.500 0.000
Zn 0.500 0.000 0.000
Cd 0.000 0.000 0.000
Hg 0.500 0.500 0.500

The value obtained for the total magnetic moment is 0.00 μB/f.u.



## ZnCdHg2 (PBE)

Data for a relaxed ZnCdHg2 crystal.

Lattice parameters (Å, degrees): 7.240 7.240 7.240 90.00 90.00 90.00
Atoms (fractional coordinates):
Zn 0.000 0.000 0.000
Zn 0.000 0.500 0.500
Zn 0.500 0.000 0.500
Zn 0.500 0.500 0.000
Cd 0.250 0.250 0.750
Cd 0.250 0.750 0.250
Cd 0.750 0.250 0.250
Cd 0.750 0.750 0.750
Hg 0.000 0.000 0.500
Hg 0.000 0.500 0.000
Hg 0.250 0.250 0.250
Hg 0.250 0.750 0.750
Hg 0.500 0.000 0.000
Hg 0.500 0.500 0.500
Hg 0.750 0.250 0.750
Hg 0.750 0.750 0.250

The value obtained for the total magnetic moment is 0.00 μB/f.u.



## Zn2Cd2Hg (PBE)

Data for a relaxed Zn2Cd2Hg crystal.

Lattice parameters (Å, degrees): 3.864 3.864 14.447 90.00 90.00 90.00
Atoms (fractional coordinates):
Zn 0.000 0.500 0.250
Zn 0.000 0.500 0.750
Zn 0.500 0.000 0.250
Zn 0.500 0.000 0.750
Cd 0.000 0.000 0.104
Cd 0.000 0.000 0.896
Cd 0.500 0.500 0.396
Cd 0.500 0.500 0.604
Hg 0.000 0.000 0.500
Hg 0.500 0.500 0.000

The value obtained for the total magnetic moment is 0.00 μB/f.u.



Here are the calculated energy above the lowest structure with this stoichiometry numbers, same order: 73; 0; 68; 19 (meV per atom).
Here are the calculated raw total energy numbers, same order: -3.16; -3.14; -2.27; -4.19 (eV per formula unit).